Version P
# HfMg2Au2

Crystalline HfMg2Au2 at its relaxed geometry (GGA-PBE, Alexandria).

Output
The value obtained for the magnetization is 0.00 μB per atom.

abc: 3.8858 3.8858 7.0947
angles: 74.11 74.11 90.00
Element x y z (fractional)
Hf (0.0000, 0.0000, 0.0000)
Mg (0.2500, 0.7500, 0.5000)
Mg (0.7500, 0.2500, 0.5000)
Au (0.6032, 0.6032, 0.7936)
Au (0.3968, 0.3968, 0.2064)



Version Q
# HfMg2Au2

Crystalline HfMg2Au2 at its relaxed geometry (GGA-PBE, Alexandria).

Output
The value obtained for the magnetization is 0.00 μB per atom.

abc: 7.9989 7.9989 2.9279
angles: 90.00 90.00 90.00
Element x y z (fractional)
Mg (0.3741, 0.8741, 0.0000)
Mg (0.6259, 0.1259, 0.0000)
Au (0.3271, 0.1729, 0.5000)
Hf (0.5000, 0.5000, 0.0000)
Au (0.1729, 0.6729, 0.5000)
Mg (0.8741, 0.6259, 0.0000)
Au (0.8271, 0.3271, 0.5000)
Mg (0.1259, 0.3741, 0.0000)
Hf (0.0000, 0.0000, 0.0000)
Au (0.6729, 0.8271, 0.5000)



Version R
# HfMg2Au2

Crystalline HfMg2Au2 at its relaxed geometry (GGA-PBE, Alexandria).

Output
The value obtained for the magnetization is 0.00 μB per atom.

abc: 7.3797 7.3797 3.6722
angles: 90.00 90.00 90.00
Element x y z (fractional)
Hf (0.5000, 0.5000, 0.0000)
Hf (0.0000, 0.0000, 0.0000)
Mg (0.3402, 0.1598, 0.5000)
Au (0.1411, 0.3589, 0.0000)
Mg (0.8402, 0.3402, 0.5000)
Au (0.6411, 0.1411, 0.0000)
Mg (0.1598, 0.6598, 0.5000)
Mg (0.6598, 0.8402, 0.5000)
Au (0.3589, 0.8589, 0.0000)
Au (0.8589, 0.6411, 0.0000)



Least stable structure: version P



Version P
# HfMgAu4

Crystalline HfMgAu4 at its relaxed geometry (GGA-PBE, Alexandria).

Output
The value obtained for the magnetization is 0.00 μB per atom.

abc: 3.4954 5.0628 7.1925
angles: 100.91 75.94 69.81
Element x y z (fractional)
Hf (0.5000, 0.5000, 0.5000)
Mg (0.0000, 0.0000, 0.0000)
Au (0.1681, 0.4940, 0.1697)
Au (0.8319, 0.5060, 0.8303)
Au (0.6698, 0.9934, 0.6670)
Au (0.3302, 0.0066, 0.3330)



Version Q
# HfMgAu4

Crystalline HfMgAu4 at its relaxed geometry (GGA-PBE, Alexandria).

Output
The value obtained for the magnetization is 0.00 μB per atom.

abc: 6.4946 6.4946 7.6889
angles: 114.98 114.98 90.00
Element x y z (fractional)
Au (0.3750, 0.8698, 0.2500)
Mg (0.5000, 0.5000, 0.0000)
Hf (0.0000, 0.0000, 0.0000)
Au (0.6198, 0.1250, 0.7500)
Hf (0.7500, 0.2500, 0.5000)
Au (0.8750, 0.8698, 0.2500)
Au (0.8750, 0.3802, 0.2500)
Au (0.6198, 0.6250, 0.7500)
Au (0.1302, 0.6250, 0.7500)
Mg (0.2500, 0.7500, 0.5000)
Au (0.1302, 0.1250, 0.7500)
Au (0.3750, 0.3802, 0.2500)



Least stable structure: version Q



Version P
# HfMn3Au

Crystalline HfMn3Au at its relaxed geometry (GGA-PBE, Alexandria).

Output
The value obtained for the magnetization is 2.19 μB per atom.

abc: 4.8248 4.8248 4.8248
angles: 90.00 90.00 90.00
Last column: magnetic moment on the atom in μB.
Element x y z (fractional)
Mn (0.0000, 0.0000, 0.5000)  3.92
Au (0.0000, 0.0000, 0.0000)  0.21
Mn (0.5000, 0.0000, 0.0000)  3.68
Mn (0.0000, 0.5000, 0.0000)  3.97
Hf (0.5000, 0.5000, 0.5000)  -0.85



Version Q
# HfMn3Au

Crystalline HfMn3Au at its relaxed geometry (GGA-PBE, Alexandria).

Output
The value obtained for the magnetization is 1.85 μB per atom.

abc: 4.7117 4.7117 4.7117
angles: 90.00 90.00 90.00
Last column: magnetic moment on the atom in μB.
Element x y z (fractional)
Mn (0.0000, 0.0000, 0.5000)  2.86
Mn (0.0000, 0.5000, 0.0000)  3.13
Au (0.5000, 0.5000, 0.5000)  0.00
Hf (0.0000, 0.0000, 0.0000)  -0.69
Mn (0.5000, 0.0000, 0.0000)  3.59



Least stable structure: version Q



Version P
# Hf2MoOsAu

Crystalline Hf2MoOsAu at its relaxed geometry (GGA-PBE, Alexandria).

Output
The value obtained for the magnetization is 0.00 μB per atom.

abc: 4.9910 4.6931 4.9910
angles: 90.00 90.00 90.00
Element x y z (fractional)
Hf (0.0000, 0.0000, 0.5000)
Hf (0.5000, 0.0000, 0.0000)
Mo (0.0000, 0.5000, 0.0000)
Os (0.0000, 0.0000, 0.0000)
Au (0.5000, 0.5000, 0.5000)



Version Q
# Hf2MoOsAu

Crystalline Hf2MoOsAu at its relaxed geometry (GGA-PBE, Alexandria).

Output
The value obtained for the magnetization is 0.34 μB per atom.

abc: 4.8651 4.8741 4.8651
angles: 90.00 90.00 90.00
Last column: magnetic moment on the atom in μB.
Element x y z (fractional)
Os (0.5000, 0.5000, 0.5000)  1.55
Hf (0.5000, 0.0000, 0.0000)  -0.10
Hf (0.0000, 0.0000, 0.5000)  -0.06
Au (0.0000, 0.5000, 0.0000)  0.08
Mo (0.0000, 0.0000, 0.0000)  0.18



Least stable structure: version Q



Version P
# HfZrMoAu

Crystalline HfZrMoAu at its relaxed geometry (GGA-PBE, Alexandria).

Output
The value obtained for the magnetization is 0.00 μB per atom.

abc: 4.7626 4.7626 4.7626
angles: 60.00 60.00 60.00
Element x y z (fractional)
Au (0.0000, 0.0000, 0.0000)
Zr (0.2500, 0.2500, 0.2500)
Hf (0.7500, 0.7500, 0.7500)
Mo (0.5000, 0.5000, 0.5000)



Version Q
# HfZrMoAu

Crystalline HfZrMoAu at its relaxed geometry (GGA-PBE, Alexandria).

Output
The value obtained for the magnetization is 0.00 μB per atom.

abc: 3.4160 3.4160 6.5774
angles: 90.00 90.00 90.00
Element x y z (fractional)
Hf (0.5000, 0.5000, 0.5929)
Mo (0.0000, 0.0000, 0.3600)
Au (0.0000, 0.0000, 0.8525)
Zr (0.5000, 0.5000, 0.1225)



Least stable structure: version P



Version P
# HfAuN

Crystalline HfAuN at its relaxed geometry (GGA-PBE, Alexandria).

Output
The value obtained for the magnetization is 0.00 μB per atom.

abc: 3.8405 3.8405 6.5239
angles: 90.00 90.00 90.00
Element x y z (fractional)
Au (0.5000, 0.0000, 0.9278)
N (0.0000, 0.0000, 0.5000)
Hf (0.5000, 0.0000, 0.3610)
Au (0.0000, 0.5000, 0.0722)
N (0.5000, 0.5000, 0.5000)
Hf (0.0000, 0.5000, 0.6390)



Version Q
# HfAuN

Crystalline HfAuN at its relaxed geometry (GGA-PBE, Alexandria).

Output
The value obtained for the magnetization is 0.00 μB per atom.

abc: 5.0857 4.3471 4.3396
angles: 90.00 92.76 90.00
Element x y z (fractional)
N (0.5409, 0.5000, 0.0757)
N (0.5409, 0.0000, 0.5757)
Hf (0.5519, 0.0000, 0.0710)
Au (0.0549, 0.0000, 0.3825)
Hf (0.5519, 0.5000, 0.5710)
Au (0.0549, 0.5000, 0.8825)



Least stable structure: version Q



Version P
# HfAuN

Crystalline HfAuN at its relaxed geometry (GGA-PBE, Alexandria).

Output
The value obtained for the magnetization is 0.00 μB per atom.

abc: 3.3602 3.3602 15.8487
angles: 90.00 90.00 120.00
Element x y z (fractional)
N (0.6667, 0.3333, 0.5166)
Au (0.6667, 0.3333, 0.6651)
N (0.0000, 0.0000, 0.1832)
Hf (0.3333, 0.6667, 0.4705)
Hf (0.6667, 0.3333, 0.1372)
Au (0.3333, 0.6667, 0.9984)
Au (0.0000, 0.0000, 0.3318)
N (0.3333, 0.6667, 0.8499)
Hf (0.0000, 0.0000, 0.8039)



Version Q
# HfAuN

Crystalline HfAuN at its relaxed geometry (GGA-PBE, Alexandria).

Output
The value obtained for the magnetization is 0.00 μB per atom.

abc: 2.9694 3.1175 5.2863
angles: 79.17 90.04 90.00
Element x y z (fractional)
Hf (0.1995, 0.2848, 0.8984)
Au (0.7016, 0.0465, 0.3777)
N (0.6995, 0.8020, 0.8397)



Version R
# HfAuN

Crystalline HfAuN at its relaxed geometry (GGA-PBE, Alexandria).

Output
The value obtained for the magnetization is 0.00 μB per atom.

abc: 3.5560 3.5560 9.3404
angles: 79.03 79.03 60.00
Element x y z (fractional)
Au (0.8716, 0.8716, 0.3852)
N (0.6343, 0.6343, 0.0971)
N (0.3657, 0.3657, 0.9029)
Hf (0.7150, 0.7150, 0.8550)
Hf (0.2850, 0.2850, 0.1450)
Au (0.1284, 0.1284, 0.6148)



Version S
# HfAuN

Crystalline HfAuN at its relaxed geometry (GGA-PBE, Alexandria).

Output
The value obtained for the magnetization is 0.00 μB per atom.

abc: 3.9862 6.4845 3.7989
angles: 90.00 90.00 90.00
Element x y z (fractional)
N (0.5000, 0.4867, 0.0000)
N (0.0000, 0.5133, 0.5000)
Au (0.5000, 0.9993, 0.0000)
Hf (0.0000, 0.3659, 0.0000)
Au (0.0000, 0.0007, 0.5000)
Hf (0.5000, 0.6341, 0.5000)



Least stable structure: version Q



Version P
# Hf2Au2N

Crystalline Hf2Au2N at its relaxed geometry (GGA-PBE, Alexandria).

Output
The value obtained for the magnetization is 0.00 μB per atom.

abc: 6.9141 6.9141 3.8798
angles: 90.00 90.00 90.00
Element x y z (fractional)
Au (0.8599, 0.6401, 0.0000)
Hf (0.3350, 0.1650, 0.5000)
N (0.0000, 0.0000, 0.0000)
N (0.5000, 0.5000, 0.0000)
Au (0.3599, 0.8599, 0.0000)
Hf (0.6650, 0.8350, 0.5000)
Hf (0.1650, 0.6650, 0.5000)
Hf (0.8350, 0.3350, 0.5000)
Au (0.1401, 0.3599, 0.0000)
Au (0.6401, 0.1401, 0.0000)



Version Q
# Hf2Au2N

Crystalline Hf2Au2N at its relaxed geometry (GGA-PBE, Alexandria).

Output
The value obtained for the magnetization is 0.00 μB per atom.

abc: 4.7662 4.7662 5.9574
angles: 66.42 66.42 90.00
Element x y z (fractional)
Au (0.6285, 0.6285, 0.7430)
Au (0.3715, 0.3715, 0.2570)
N (0.0000, 0.0000, 0.0000)
Hf (0.7500, 0.2500, 0.5000)
Hf (0.2500, 0.7500, 0.5000)



Least stable structure: version Q



Version P
# HfAu2N2

Crystalline HfAu2N2 at its relaxed geometry (GGA-PBE, Alexandria).

Output
The value obtained for the magnetization is 0.00 μB per atom.

abc: 6.9946 6.9946 3.0277
angles: 90.00 90.00 90.00
Element x y z (fractional)
N (0.2963, 0.2037, 0.5000)
Au (0.3713, 0.8713, 0.0000)
N (0.7037, 0.7963, 0.5000)
N (0.2037, 0.7037, 0.5000)
Hf (0.0000, 0.0000, 0.0000)
Au (0.6287, 0.1287, 0.0000)
Hf (0.5000, 0.5000, 0.0000)
Au (0.1287, 0.3713, 0.0000)
N (0.7963, 0.2963, 0.5000)
Au (0.8713, 0.6287, 0.0000)



Version Q
# HfAu2N2

Crystalline HfAu2N2 at its relaxed geometry (GGA-PBE, Alexandria).

Output
The value obtained for the magnetization is 0.00 μB per atom.

abc: 3.7757 3.7757 5.7705
angles: 70.90 70.90 90.00
Element x y z (fractional)
Hf (0.0000, 0.0000, 0.0000)
Au (0.6288, 0.6288, 0.7425)
Au (0.3712, 0.3712, 0.2575)
N (0.7500, 0.2500, 0.5000)
N (0.2500, 0.7500, 0.5000)



Least stable structure: version P



Version P
# Hf2PbAuN

Crystalline Hf2PbAuN at its relaxed geometry (GGA-PBE, Alexandria).

Output
The value obtained for the magnetization is 0.00 μB per atom.

abc: 5.4342 4.1639 5.4342
angles: 90.00 90.00 90.00
Element x y z (fractional)
Au (0.5000, 0.5000, 0.5000)
Pb (0.0000, 0.0000, 0.0000)
N (0.0000, 0.5000, 0.0000)
Hf (0.5000, 0.0000, 0.0000)
Hf (0.0000, 0.0000, 0.5000)



Version Q
# Hf2PbAuN

Crystalline Hf2PbAuN at its relaxed geometry (GGA-PBE, Alexandria).

Output
The value obtained for the magnetization is 0.00 μB per atom.

abc: 4.3490 5.0509 4.3490
angles: 90.00 90.00 90.00
Element x y z (fractional)
Hf (0.0000, 0.0000, 0.5000)
N (0.0000, 0.0000, 0.0000)
Pb (0.0000, 0.5000, 0.0000)
Au (0.5000, 0.5000, 0.5000)
Hf (0.5000, 0.0000, 0.0000)



Least stable structure: version P



Version P
# HfAuSeN2

Crystalline HfAuSeN2 at its relaxed geometry (GGA-PBE, Alexandria).

Output
The value obtained for the magnetization is 0.00 μB per atom.

abc: 4.0797 4.0797 4.9314
angles: 90.00 90.00 90.00
Element x y z (fractional)
Au (0.0000, 0.0000, 0.0000)
N (0.5000, 0.0000, 0.0000)
Se (0.0000, 0.0000, 0.5000)
Hf (0.5000, 0.5000, 0.5000)
N (0.0000, 0.5000, 0.0000)



Version Q
# HfAuSeN2

Crystalline HfAuSeN2 at its relaxed geometry (GGA-PBE, Alexandria).

Output
The value obtained for the magnetization is 0.00 μB per atom.

abc: 4.0329 4.0329 5.8701
angles: 90.00 90.00 90.00
Element x y z (fractional)
Se (0.0000, 0.0000, 0.5000)
Au (0.5000, 0.5000, 0.5000)
N (0.0000, 0.5000, 0.0000)
Hf (0.0000, 0.0000, 0.0000)
N (0.5000, 0.0000, 0.0000)



Least stable structure: version P



Version P
# HfAuSe2N

Crystalline HfAuSe2N at its relaxed geometry (GGA-PBE, Alexandria).

Output
The value obtained for the magnetization is 0.29 μB per atom.

abc: 5.2538 5.2538 4.0797
angles: 90.00 90.00 90.00
Last column: magnetic moment on the atom in μB.
Element x y z (fractional)
Se (0.5000, 0.0000, 0.0000)  0.17
Au (0.5000, 0.5000, 0.5000)  0.05
Se (0.0000, 0.5000, 0.0000)  0.17
Hf (0.0000, 0.0000, 0.0000)  -0.04
N (0.0000, 0.0000, 0.5000)  0.68



Version Q
# HfAuSe2N

Crystalline HfAuSe2N at its relaxed geometry (GGA-PBE, Alexandria).

Output
The value obtained for the magnetization is 0.22 μB per atom.

abc: 5.2120 5.2120 3.7806
angles: 90.00 90.00 90.00
Last column: magnetic moment on the atom in μB.
Element x y z (fractional)
N (0.0000, 0.0000, 0.5000)  0.21
Au (0.0000, 0.0000, 0.0000)  0.08
Hf (0.5000, 0.5000, 0.5000)  0.46
Se (0.5000, 0.0000, 0.0000)  0.00
Se (0.0000, 0.5000, 0.0000)  0.00



Least stable structure: version Q